Below is an optimized crystal structure of Tm4AlPt, with properties calculated at the GGA-PBE level.

Results
energy relative to the elements	-4.0	eV per formula unit
VASP energy	-5.276	eV per atom

Cell lengths 9.4625, 9.4625, 9.4625 Å; angles 60.00, 60.00, 60.00 degrees
Last column: nearest neighbours and their distance in Å.
Atoms (fractional coordinates):
Tm (0.3951, 0.3951, 0.3951)  3 Pt 2.83
Tm (0.8147, 0.3951, 0.3951)  3 Pt 2.83
Tm (0.3951, 0.8147, 0.3951)  3 Pt 2.83
Tm (0.3951, 0.3951, 0.8147)  3 Pt 2.83
Tm (0.5579, 0.5579, 0.9421)  2 Pt 2.80
Tm (0.9421, 0.9421, 0.5579)  2 Pt 2.80
Tm (0.5579, 0.9421, 0.5579)  2 Pt 2.80
Tm (0.9421, 0.5579, 0.9421)  2 Pt 2.80
Tm (0.9421, 0.5579, 0.5579)  2 Pt 2.80
Tm (0.5579, 0.9421, 0.9421)  2 Pt 2.80
Tm (0.1858, 0.1858, 0.8142)  2 Al 3.25, 10 Tm 3.43-3.54, 2 Pt 3.43
Tm (0.8142, 0.8142, 0.1858)  2 Al 3.25, 10 Tm 3.43-3.54, 2 Pt 3.43
Tm (0.1858, 0.8142, 0.1858)  2 Al 3.25, 10 Tm 3.43-3.54, 2 Pt 3.43
Tm (0.8142, 0.1858, 0.8142)  2 Al 3.25, 10 Tm 3.43-3.54, 2 Pt 3.43
Tm (0.8142, 0.1858, 0.1858)  2 Al 3.25, 10 Tm 3.43-3.54, 2 Pt 3.43
Tm (0.1858, 0.8142, 0.8142)  2 Al 3.25, 10 Tm 3.43-3.54, 2 Pt 3.43
Al (0.1717, 0.1717, 0.1717)  3 Al 2.97, 6 Tm 3.25
Al (0.4850, 0.1717, 0.1717)  3 Al 2.97, 6 Tm 3.25
Al (0.1717, 0.4850, 0.1717)  3 Al 2.97, 6 Tm 3.25
Al (0.1717, 0.1717, 0.4850)  3 Al 2.97, 6 Tm 3.25
Pt (0.6062, 0.6062, 0.6062)  6 Tm 2.80-2.83
Pt (0.1814, 0.6062, 0.6062)  6 Tm 2.80-2.83
Pt (0.6062, 0.1814, 0.6062)  6 Tm 2.80-2.83
Pt (0.6062, 0.6062, 0.1814)  6 Tm 2.80-2.83